Record 1
MgScIn2: relaxed, PBE.

Values from the calculation:
SG = No. 99
Final energy = -3.443 eV/atom
Total magnetization = 0.5 Bohr magnetons per cell

abc: 3.2433 3.2433 9.1894
angles: 90.00 90.00 90.00
Closest atoms and distances in Å follow each position.
Sites, in units of the cell vectors:
In 0.0000 0.0000 0.9827  4 Sc 3.12, 8 In 3.24-3.41
In 0.5000 0.5000 0.2576  4 Mg 3.24, 8 In 3.24-3.41
Mg 0.0000 0.0000 0.5071  4 Sc 3.22, 4 In 3.24, 4 Mg 3.24
Sc 0.5000 0.5000 0.7526  4 In 3.12, 4 Mg 3.22, 4 Sc 3.24

Record 2
ReTcW2: relaxed, PBE.

Values from the calculation:
Offset from the most stable computed form = 55 meV per atom
SG = No. 216
Total magnetization = 0.0 Bohr magnetons per cell

abc: 4.4449 4.4449 4.4449
angles: 60.00 60.00 60.00
Closest atoms and distances in Å follow each position.
Sites, in units of the cell vectors:
Re 0.5000 0.5000 0.5000  4 W 2.72, 4 Tc 2.72
Tc 0.7500 0.7500 0.7500  4 W 2.72, 4 Re 2.72
W 0.0000 0.0000 0.0000  4 W 2.72, 4 Tc 2.72
W 0.2500 0.2500 0.2500  4 Re 2.72, 4 W 2.72

Record 3
Nb3V8Sn: relaxed, PBE.

Values from the calculation:
SG = No. 156
Final energy = -8.970 eV/atom
Total magnetization = 0.0 Bohr magnetons per cell

abc: 5.0557 5.0557 8.3420
angles: 90.00 90.00 120.00
Closest atoms and distances in Å follow each position.
Sites, in units of the cell vectors:
Nb 0.6667 0.3333 0.4327  12 V 2.96-3.05, 1 Nb 3.08, 3 Sn 3.12
Nb 0.6667 0.3333 0.0630  12 V 2.94-2.97, 4 Nb 3.08-3.09
Nb 0.0000 0.0000 0.9420  12 V 2.92-2.97, 3 Nb 3.09, 1 Sn 3.15
V 0.3333 0.6667 0.4941  6 V 2.54-2.64
V 0.3333 0.6667 0.9988  6 V 2.52-2.54
V 0.5030 0.0060 0.7552  6 V 2.48-2.64
V 0.5030 0.4970 0.7552  6 V 2.48-2.64
V 0.9940 0.4970 0.7552  6 V 2.48-2.64
V 0.1650 0.3301 0.2464  6 V 2.50-2.55
V 0.1650 0.8350 0.2464  6 V 2.50-2.55
V 0.6699 0.8350 0.2464  6 V 2.50-2.55
Sn 0.0000 0.0000 0.5647  12 V 2.98-3.02, 4 Nb 3.12-3.15

Q: Which value of total magnetization does entry 3 give?
A: 0.0 Bohr magnetons per cell